## one
DFT (GGA-PBE) results for crystalline AlZnFeIr at its relaxed geometry.

The structure in POSCAR format:
```
AlZnFeIr
1.0
0.0000 2.9716 2.9716
2.9716 0.0000 2.9716
2.9716 2.9716 0.0000
Al Zn Fe Ir
1 1 1 1
Direct
0.0000 0.0000 0.0000 Al
0.5000 0.5000 0.5000 Zn
0.2500 0.2500 0.2500 Fe
0.7500 0.7500 0.7500 Ir
```

## two
DFT (GGA-PBE) results for crystalline AlZnFeIr at its relaxed geometry.

The structure in POSCAR format:
```
AlZnFeIr
1.0
0.0000 3.0032 3.0032
3.0032 0.0000 3.0032
3.0032 3.0032 0.0000
Al Zn Fe Ir
1 1 1 1
Direct
0.0000 0.0000 0.0000 Al
0.7500 0.7500 0.7500 Zn
0.2500 0.2500 0.2500 Fe
0.5000 0.5000 0.5000 Ir
```

Of them, the most stable is one and the least stable is two.

## one
DFT (GGA-PBE) results for crystalline LiLuAlFe at its relaxed geometry.

The structure in POSCAR format:
```
LiLuAlFe
1.0
0.0000 3.1521 3.1521
3.1521 0.0000 3.1521
3.1521 3.1521 0.0000
Li Lu Al Fe
1 1 1 1
Direct
0.0000 0.0000 0.0000 Li
0.7500 0.7500 0.7500 Lu
0.2500 0.2500 0.2500 Al
0.5000 0.5000 0.5000 Fe
```

## two
DFT (GGA-PBE) results for crystalline LiLuAlFe at its relaxed geometry.

The structure in POSCAR format:
```
LiLuAlFe
1.0
0.0000 3.2385 3.2385
3.2385 0.0000 3.2385
3.2385 3.2385 0.0000
Li Lu Al Fe
1 1 1 1
Direct
0.0000 0.0000 0.0000 Li
0.2500 0.2500 0.2500 Lu
0.5000 0.5000 0.5000 Al
0.7500 0.7500 0.7500 Fe
```

Of them, the most stable is one and the least stable is two.

## one
DFT (GGA-PBE) results for crystalline LiAlFeW at its relaxed geometry.

The structure in POSCAR format:
```
LiAlFeW
1.0
0.0000 3.0062 3.0062
3.0062 0.0000 3.0062
3.0062 3.0062 0.0000
Li Al Fe W
1 1 1 1
Direct
0.0000 0.0000 0.0000 Li
0.5000 0.5000 0.5000 Al
0.2500 0.2500 0.2500 Fe
0.7500 0.7500 0.7500 W
```

## two
DFT (GGA-PBE) results for crystalline LiAlFeW at its relaxed geometry.

The structure in POSCAR format:
```
LiAlFeW
1.0
0.0000 2.9169 2.9169
2.9169 0.0000 2.9169
2.9169 2.9169 0.0000
Li Al Fe W
1 1 1 1
Direct
0.0000 0.0000 0.0000 Li
0.2500 0.2500 0.2500 Al
0.5000 0.5000 0.5000 Fe
0.7500 0.7500 0.7500 W
```

Of them, the most stable is two and the least stable is one.

## one
DFT (GGA-PBE) results for crystalline LiAlZnFe at its relaxed geometry.

The structure in POSCAR format:
```
LiAlZnFe
1.0
0.0000 2.9222 2.9222
2.9222 0.0000 2.9222
2.9222 2.9222 0.0000
Li Al Zn Fe
1 1 1 1
Direct
0.0000 0.0000 0.0000 Li
0.5000 0.5000 0.5000 Al
0.2500 0.2500 0.2500 Zn
0.7500 0.7500 0.7500 Fe
```

## two
DFT (GGA-PBE) results for crystalline LiAlZnFe at its relaxed geometry.

The structure in POSCAR format:
```
LiAlZnFe
1.0
0.0000 2.9197 2.9197
2.9197 0.0000 2.9197
2.9197 2.9197 0.0000
Li Al Zn Fe
1 1 1 1
Direct
0.0000 0.0000 0.0000 Li
0.2500 0.2500 0.2500 Al
0.7500 0.7500 0.7500 Zn
0.5000 0.5000 0.5000 Fe
```

Of them, the most stable is two and the least stable is one.

## one
DFT (GGA-PBE) results for crystalline LuAlFeMo at its relaxed geometry.

The structure in POSCAR format:
```
LuAlFeMo
1.0
0.0000 3.1962 3.1962
3.1962 0.0000 3.1962
3.1962 3.1962 0.0000
Lu Al Fe Mo
1 1 1 1
Direct
0.0000 0.0000 0.0000 Lu
0.5000 0.5000 0.5000 Al
0.7500 0.7500 0.7500 Fe
0.2500 0.2500 0.2500 Mo
```

## two
DFT (GGA-PBE) results for crystalline LuAlFeMo at its relaxed geometry.

The structure in POSCAR format:
```
LuAlFeMo
1.0
0.0000 3.2042 3.2042
3.2042 0.0000 3.2042
3.2042 3.2042 0.0000
Lu Al Fe Mo
1 1 1 1
Direct
0.0000 0.0000 0.0000 Lu
0.2500 0.2500 0.2500 Al
0.5000 0.5000 0.5000 Fe
0.7500 0.7500 0.7500 Mo
```

Of them, the most stable is one and the least stable is two.

## one
DFT (GGA-PBE) results for crystalline LuAlFeOs at its relaxed geometry.

The structure in POSCAR format:
```
LuAlFeOs
1.0
0.0000 3.2077 3.2077
3.2077 0.0000 3.2077
3.2077 3.2077 0.0000
Lu Al Fe Os
1 1 1 1
Direct
0.0000 0.0000 0.0000 Lu
0.2500 0.2500 0.2500 Al
0.5000 0.5000 0.5000 Fe
0.7500 0.7500 0.7500 Os
```

## two
DFT (GGA-PBE) results for crystalline LuAlFeOs at its relaxed geometry.

The structure in POSCAR format:
```
LuAlFeOs
1.0
0.0000 3.1516 3.1516
3.1516 0.0000 3.1516
3.1516 3.1516 0.0000
Lu Al Fe Os
1 1 1 1
Direct
0.0000 0.0000 0.0000 Lu
0.5000 0.5000 0.5000 Al
0.7500 0.7500 0.7500 Fe
0.2500 0.2500 0.2500 Os
```

Of them, the most stable is two and the least stable is one.

## one
DFT (GGA-PBE) results for crystalline LuAlFeTc at its relaxed geometry.

The structure in POSCAR format:
```
LuAlFeTc
1.0
0.0000 3.2116 3.2116
3.2116 0.0000 3.2116
3.2116 3.2116 0.0000
Lu Al Fe Tc
1 1 1 1
Direct
0.0000 0.0000 0.0000 Lu
0.2500 0.2500 0.2500 Al
0.5000 0.5000 0.5000 Fe
0.7500 0.7500 0.7500 Tc
```

## two
DFT (GGA-PBE) results for crystalline LuAlFeTc at its relaxed geometry.

The structure in POSCAR format:
```
LuAlFeTc
1.0
0.0000 3.1635 3.1635
3.1635 0.0000 3.1635
3.1635 3.1635 0.0000
Lu Al Fe Tc
1 1 1 1
Direct
0.0000 0.0000 0.0000 Lu
0.5000 0.5000 0.5000 Al
0.7500 0.7500 0.7500 Fe
0.2500 0.2500 0.2500 Tc
```

Of them, the most stable is two and the least stable is one.

## one
DFT (GGA-PBE) results for crystalline LuAlZnFe at its relaxed geometry.

The structure in POSCAR format:
```
LuAlZnFe
1.0
0.0000 3.2025 3.2025
3.2025 0.0000 3.2025
3.2025 3.2025 0.0000
Lu Al Zn Fe
1 1 1 1
Direct
0.0000 0.0000 0.0000 Lu
0.5000 0.5000 0.5000 Al
0.2500 0.2500 0.2500 Zn
0.7500 0.7500 0.7500 Fe
```

## two
DFT (GGA-PBE) results for crystalline LuAlZnFe at its relaxed geometry.

The structure in POSCAR format:
```
LuAlZnFe
1.0
0.0000 3.2130 3.2130
3.2130 0.0000 3.2130
3.2130 3.2130 0.0000
Lu Al Zn Fe
1 1 1 1
Direct
0.0000 0.0000 0.0000 Lu
0.2500 0.2500 0.2500 Al
0.7500 0.7500 0.7500 Zn
0.5000 0.5000 0.5000 Fe
```

Of them, the most stable is one and the least stable is two.

## one
DFT (GGA-PBE) results for crystalline YAlFeMo at its relaxed geometry.

The structure in POSCAR format:
```
YAlFeMo
1.0
0.0000 3.2363 3.2363
3.2363 0.0000 3.2363
3.2363 3.2363 0.0000
Y Al Fe Mo
1 1 1 1
Direct
0.0000 0.0000 0.0000 Y
0.5000 0.5000 0.5000 Al
0.7500 0.7500 0.7500 Fe
0.2500 0.2500 0.2500 Mo
```

## two
DFT (GGA-PBE) results for crystalline YAlFeMo at its relaxed geometry.

The structure in POSCAR format:
```
YAlFeMo
1.0
0.0000 3.2429 3.2429
3.2429 0.0000 3.2429
3.2429 3.2429 0.0000
Y Al Fe Mo
1 1 1 1
Direct
0.0000 0.0000 0.0000 Y
0.2500 0.2500 0.2500 Al
0.5000 0.5000 0.5000 Fe
0.7500 0.7500 0.7500 Mo
```

Of them, the most stable is one and the least stable is two.

## one
DFT (GGA-PBE) results for crystalline YNbAlFe at its relaxed geometry.

The structure in POSCAR format:
```
YNbAlFe
1.0
0.0000 3.2558 3.2558
3.2558 0.0000 3.2558
3.2558 3.2558 0.0000
Y Nb Al Fe
1 1 1 1
Direct
0.0000 0.0000 0.0000 Y
0.7500 0.7500 0.7500 Nb
0.2500 0.2500 0.2500 Al
0.5000 0.5000 0.5000 Fe
```

## two
DFT (GGA-PBE) results for crystalline YNbAlFe at its relaxed geometry.

The structure in POSCAR format:
```
YNbAlFe
1.0
0.0000 3.2572 3.2572
3.2572 0.0000 3.2572
3.2572 3.2572 0.0000
Y Nb Al Fe
1 1 1 1
Direct
0.0000 0.0000 0.0000 Y
0.2500 0.2500 0.2500 Nb
0.5000 0.5000 0.5000 Al
0.7500 0.7500 0.7500 Fe
```

Of them, the most stable is one and the least stable is two.

## one
DFT (GGA-PBE) results for crystalline AlFeNiPd at its relaxed geometry.

The structure in POSCAR format:
```
AlFeNiPd
1.0
0.0000 2.9501 2.9501
2.9501 0.0000 2.9501
2.9501 2.9501 0.0000
Al Fe Ni Pd
1 1 1 1
Direct
0.0000 0.0000 0.0000 Al
0.2500 0.2500 0.2500 Fe
0.5000 0.5000 0.5000 Ni
0.7500 0.7500 0.7500 Pd
```

## two
DFT (GGA-PBE) results for crystalline AlFeNiPd at its relaxed geometry.

The structure in POSCAR format:
```
AlFeNiPd
1.0
0.0000 2.9725 2.9725
2.9725 0.0000 2.9725
2.9725 2.9725 0.0000
Al Fe Ni Pd
1 1 1 1
Direct
0.0000 0.0000 0.0000 Al
0.5000 0.5000 0.5000 Fe
0.2500 0.2500 0.2500 Ni
0.7500 0.7500 0.7500 Pd
```

Of them, the most stable is two and the least stable is one.

## one
DFT (GGA-PBE) results for crystalline AlFeNiPt at its relaxed geometry.

The structure in POSCAR format:
```
AlFeNiPt
1.0
0.0000 2.9588 2.9588
2.9588 0.0000 2.9588
2.9588 2.9588 0.0000
Al Fe Ni Pt
1 1 1 1
Direct
0.0000 0.0000 0.0000 Al
0.2500 0.2500 0.2500 Fe
0.5000 0.5000 0.5000 Ni
0.7500 0.7500 0.7500 Pt
```

## two
DFT (GGA-PBE) results for crystalline AlFeNiPt at its relaxed geometry.

The structure in POSCAR format:
```
AlFeNiPt
1.0
0.0000 2.9783 2.9783
2.9783 0.0000 2.9783
2.9783 2.9783 0.0000
Al Fe Ni Pt
1 1 1 1
Direct
0.0000 0.0000 0.0000 Al
0.5000 0.5000 0.5000 Fe
0.7500 0.7500 0.7500 Ni
0.2500 0.2500 0.2500 Pt
```

Of them, the most stable is two and the least stable is one.

## one
DFT (GGA-PBE) results for crystalline AlFeNiW at its relaxed geometry.

The structure in POSCAR format:
```
AlFeNiW
1.0
0.0000 2.9644 2.9644
2.9644 0.0000 2.9644
2.9644 2.9644 0.0000
Al Fe Ni W
1 1 1 1
Direct
0.0000 0.0000 0.0000 Al
0.2500 0.2500 0.2500 Fe
0.5000 0.5000 0.5000 Ni
0.7500 0.7500 0.7500 W
```

## two
DFT (GGA-PBE) results for crystalline AlFeNiW at its relaxed geometry.

The structure in POSCAR format:
```
AlFeNiW
1.0
0.0000 2.9428 2.9428
2.9428 0.0000 2.9428
2.9428 2.9428 0.0000
Al Fe Ni W
1 1 1 1
Direct
0.0000 0.0000 0.0000 Al
0.2500 0.2500 0.2500 Fe
0.7500 0.7500 0.7500 Ni
0.5000 0.5000 0.5000 W
```

Of them, the most stable is two and the least stable is one.

## one
DFT (GGA-PBE) results for crystalline YAlFeNi at its relaxed geometry.

The structure in POSCAR format:
```
YAlFeNi
1.0
0.0000 3.1202 3.1202
3.1202 0.0000 3.1202
3.1202 3.1202 0.0000
Y Al Fe Ni
1 1 1 1
Direct
0.0000 0.0000 0.0000 Y
0.5000 0.5000 0.5000 Al
0.7500 0.7500 0.7500 Fe
0.2500 0.2500 0.2500 Ni
```

## two
DFT (GGA-PBE) results for crystalline YAlFeNi at its relaxed geometry.

The structure in POSCAR format:
```
YAlFeNi
1.0
0.0000 3.2182 3.2182
3.2182 0.0000 3.2182
3.2182 3.2182 0.0000
Y Al Fe Ni
1 1 1 1
Direct
0.0000 0.0000 0.0000 Y
0.2500 0.2500 0.2500 Al
0.5000 0.5000 0.5000 Fe
0.7500 0.7500 0.7500 Ni
```

Of them, the most stable is one and the least stable is two.

## one
DFT (GGA-PBE) results for crystalline ScAlFeOs at its relaxed geometry.

The structure in POSCAR format:
```
ScAlFeOs
1.0
0.0000 3.0794 3.0794
3.0794 0.0000 3.0794
3.0794 3.0794 0.0000
Sc Al Fe Os
1 1 1 1
Direct
0.0000 0.0000 0.0000 Sc
0.5000 0.5000 0.5000 Al
0.7500 0.7500 0.7500 Fe
0.2500 0.2500 0.2500 Os
```

## two
DFT (GGA-PBE) results for crystalline ScAlFeOs at its relaxed geometry.

The structure in POSCAR format:
```
ScAlFeOs
1.0
0.0000 3.1261 3.1261
3.1261 0.0000 3.1261
3.1261 3.1261 0.0000
Sc Al Fe Os
1 1 1 1
Direct
0.0000 0.0000 0.0000 Sc
0.2500 0.2500 0.2500 Al
0.5000 0.5000 0.5000 Fe
0.7500 0.7500 0.7500 Os
```

Of them, the most stable is one and the least stable is two.